1.
A plane-wave DFT calculation with PBE was carried out for ZrPaTeSe after structural relaxation.

Structure (POSCAR):
```
ZrPaTeSe
1.0
5.0444 0.0000 0.0000
2.5222 4.3685 0.0000
2.5222 1.4562 4.1187
Pa Te Se Zr
1 1 1 1
direct
0.7500 0.7500 0.7500
0.5000 0.5000 0.5000
0.0000 0.0000 0.0000
0.2500 0.2500 0.2500
```

## Properties
Space group ... F-43m, No. 216

2.
A plane-wave DFT calculation with PBE was carried out for ZrPaTeSe2 after structural relaxation.

Structure (POSCAR):
```
ZrPaTeSe2
1.0
3.8096 0.0000 0.0000
0.0000 9.7899 -0.4736
0.0000 -2.2254 7.3833
Zr Pa Te Se
2 2 2 4
direct
0.7500 0.6399 0.6208
0.2500 0.3601 0.3792
0.7500 0.8283 0.2688
0.2500 0.1717 0.7312
0.7500 0.2755 0.0693
0.2500 0.7245 0.9307
0.2500 0.6335 0.3625
0.2500 0.0616 0.3343
0.7500 0.9384 0.6657
0.7500 0.3665 0.6375
```

## Properties
Space group ... P2_1/m, No. 11

3.
A plane-wave DFT calculation with PBE was carried out for ThPaSe3 after structural relaxation.

Structure (POSCAR):
```
ThPaSe3
1.0
4.0958 0.0000 0.0000
0.0000 7.7661 0.0000
0.0000 0.0000 16.0316
Th Pa Se
4 4 12
direct
0.7500 0.9036 0.7970
0.2500 0.0964 0.2030
0.7500 0.4036 0.7030
0.2500 0.5964 0.2970
0.2500 0.2678 0.9596
0.2500 0.7678 0.5404
0.7500 0.2322 0.4596
0.7500 0.7322 0.0404
0.2500 0.3816 0.5677
0.7500 0.8209 0.2210
0.7500 0.5024 0.8928
0.7500 0.0024 0.6072
0.7500 0.6184 0.4323
0.2500 0.9976 0.3928
0.2500 0.8816 0.9323
0.7500 0.3209 0.2790
0.2500 0.6791 0.7210
0.2500 0.1791 0.7790
0.7500 0.1184 0.0677
0.2500 0.4976 0.1072
```

## Properties
Space group ... Pnma, No. 62

4.
A plane-wave DFT calculation with PBE was carried out for ThPaSe2 after structural relaxation.

Structure (POSCAR):
```
ThPaSe2
1.0
-0.8794 3.4455 -0.5613
-3.0836 -0.4953 1.7905
3.2764 1.8383 6.1509
Pa Se Th
1 2 1
direct
0.5000 0.5000 0.0000
0.0000 0.0000 0.7576
0.0000 0.0000 0.2424
0.5000 0.5000 0.5000
```

## Properties
Space group ... P4/mmm, No. 123

5.
A plane-wave DFT calculation with PBE was carried out for ThPa2Se3 after structural relaxation.

Structure (POSCAR):
```
ThPa2Se3
1.0
6.8741 -0.0733 -1.1548
-3.7477 5.7631 -1.1548
0.0681 0.1239 7.4642
Th Pa Se
2 4 6
direct
0.9988 0.0012 0.0000
0.6679 0.3321 0.0000
0.8333 0.1667 0.5000
0.3333 0.6667 0.0000
0.1617 0.8383 0.5000
0.5050 0.4950 0.5000
0.5731 0.9064 0.7406
0.0936 0.4269 0.2594
0.9220 0.5827 0.7464
0.2494 0.2553 0.7464
0.4173 0.0780 0.2536
0.7447 0.7506 0.2536
```

## Properties
Space group ... C2/m, No. 12

6.
A plane-wave DFT calculation with PBE was carried out for Th5Pa3Se8 after structural relaxation.

Structure (POSCAR):
```
Th5Pa3Se8
1.0
7.2029 0.0000 4.1258
2.4198 6.7842 4.1258
0.0191 0.0135 8.3169
Th Pa Se
5 3 8
direct
0.5000 0.0000 0.0000
0.5000 0.5000 0.0000
0.0000 0.0000 0.0000
0.0000 0.5000 0.0000
0.5000 0.5000 0.5000
0.5000 0.0000 0.5000
0.0000 0.0000 0.5000
0.0000 0.5000 0.5000
0.2500 0.2500 0.7438
0.2500 0.7562 0.7438
0.7562 0.2500 0.7438
0.7530 0.7530 0.7410
0.7500 0.7500 0.2562
0.7500 0.2438 0.2562
0.2438 0.7500 0.2562
0.2470 0.2470 0.2590
```

## Properties
Space group ... R-3m, No. 166

It is found that the spin magnetization values, taken in the order of the records, are 0.00, 0.88, 1.64, 1.15, 1.13, 0.74 μB per formula unit.
It is found that the formation energy (no corrections) values, taken in the order of the records, are -0.827, -1.137, -1.495, -1.147, -1.308, -1.406 eV/atom.